1.
9
Lattice="2.959 -4.600 0.000 2.959 4.600 0.000 -0.261 0.000 4.763" Properties=species:S:1:pos:R:3 comment="PBE+U Cr2CdF6, optimized geometry" dft_energy_ev_per_cell=-48.89 pbc="T T T"
Cr 2.959 3.036 0.000
Cr 2.959 -3.036 0.000
Cd 2.828 0.000 2.381
F 0.829 0.000 1.073
F 1.842 1.592 3.638
F 3.815 1.592 1.125
F 1.842 -1.592 3.638
F 3.815 -1.592 1.125
F 4.828 0.000 3.689

***

2.
12
Lattice="4.374 0.000 0.000 0.000 4.374 0.000 0.000 0.000 10.592" Properties=species:S:1:pos:R:3 comment="PBE+U CrCdF4, optimized geometry" dos_ef_per_ev_cell=0.26 dft_energy_ev_per_cell=-59.75 pbc="T T T"
Cr 0.000 0.000 0.000
Cr 2.187 2.187 5.296
Cd 0.000 2.187 7.944
Cd 2.187 0.000 2.648
F 0.000 0.000 2.034
F 0.000 0.000 8.558
F 0.000 2.187 5.686
F 0.000 2.187 10.203
F 2.187 0.000 0.390
F 2.187 0.000 4.907
F 2.187 2.187 3.262
F 2.187 2.187 7.330

***

3.
17
Lattice="-3.802 3.964 4.056 3.802 -3.964 4.056 3.802 3.964 -4.056" Properties=species:S:1:pos:R:3 comment="PBE+U Cr4CdF12, optimized geometry" dos_ef_per_ev_cell=2.59 dft_energy_ev_per_cell=-96.67 pbc="T T T"
Cr 1.901 1.982 -2.028
Cr 1.901 -1.982 2.028
Cr -1.901 1.982 2.028
Cr 1.901 1.982 2.028
Cd 0.000 0.000 0.000
F 3.802 -1.594 1.688
F 1.463 1.859 0.000
F 2.339 -2.105 4.056
F 2.376 3.964 -2.098
F 1.426 0.000 1.958
F 3.802 1.594 1.688
F 0.000 2.370 2.368
F 2.376 3.964 2.098
F 1.426 0.000 6.154
F 1.463 6.070 0.000
F 2.339 2.105 4.056
F 0.000 5.559 2.368

***

4.
15
Lattice="1.956 1.129 15.242 -1.956 1.129 15.242 0.000 -2.258 15.242" Properties=species:S:1:pos:R:3 comment="PBE+U CrCd4F10, optimized geometry" dos_ef_per_ev_cell=1.34 dft_energy_ev_per_cell=-63.55 pbc="T T T"
Cr 0.000 0.000 0.000
Cd 0.000 0.000 9.189
Cd 0.000 0.000 18.163
Cd 0.000 0.000 27.562
Cd 0.000 0.000 36.536
F 0.000 0.000 2.073
F 0.000 0.000 6.830
F 0.000 0.000 11.553
F 0.000 0.000 15.899
F 0.000 0.000 20.508
F 0.000 0.000 25.216
F 0.000 0.000 29.825
F 0.000 0.000 34.171
F 0.000 0.000 38.895
F 0.000 0.000 43.652

***

no.,spin magnetization (μB/atom)
1,0.889
2,0.667
3,0.824
4,0.265